No. 1
First-principles (PBE) data for NpScPt4 after structural relaxation, as listed in Alexandria.

Properties
- Uncorrected energy: -8.02 eV per atom

a = 5.3793 Å, b = 5.3793 Å, c = 5.3793 Å
α = 60.00°, β = 60.00°, γ = 60.00°
Closest atoms and distances in Å follow each position.
Positions (direct):
Np1 0.0000 0.0000 0.0000  12 Pt 3.15, 4 Sc 3.29
Sc1 0.2500 0.2500 0.2500  12 Pt 3.15, 4 Np 3.29
Pt1 0.6248 0.6248 0.1256  6 Pt 2.69
Pt2 0.6248 0.1256 0.6248  6 Pt 2.69
Pt3 0.6248 0.6248 0.6248  6 Pt 2.69
Pt4 0.1256 0.6248 0.6248  6 Pt 2.69

No. 2
First-principles (PBE) data for GaOsI2O after structural relaxation, as listed in Alexandria.

Properties
- Formation energy from raw total energies: -0.078 eV/atom

a = 5.6966 Å, b = 5.6966 Å, c = 3.7786 Å
α = 90.00°, β = 90.00°, γ = 90.00°
Closest atoms and distances in Å follow each position.
Positions (direct):
I1 0.0000 0.5000 0.0000  2 Os 2.85
I2 0.5000 0.0000 0.0000  2 Os 2.85
Os1 0.0000 0.0000 0.0000  2 O 1.89
O1 0.0000 0.0000 0.5000  2 Os 1.89
Ga1 0.5000 0.5000 0.5000  8 I 3.42, 2 Ga 3.78

No. 3
First-principles (PBE) data for MgZn2GaPd after structural relaxation, as listed in Alexandria.

Properties
- Uncorrected energy: -2.83 eV per atom

a = 4.3365 Å, b = 5.2462 Å, c = 8.0109 Å
α = 90.00°, β = 90.00°, γ = 114.41°
Closest atoms and distances in Å follow each position.
Positions (direct):
Mg1 0.5573 0.1146 0.7500  3 Pd 2.73-2.98, 4 Zn 2.96-3.03, 4 Ga 3.00
Mg2 0.4427 0.8854 0.2500  3 Pd 2.73-2.98, 4 Zn 2.96-3.03, 4 Ga 3.00
Zn1 0.2836 0.5672 0.9227  3 Zn 2.58-2.77, 2 Pd 2.63, 1 Ga 2.78
Zn2 0.7164 0.4328 0.0773  3 Zn 2.58-2.77, 2 Pd 2.63, 1 Ga 2.78
Zn3 0.2836 0.5672 0.5773  3 Zn 2.58-2.77, 2 Pd 2.63, 1 Ga 2.78
Zn4 0.7164 0.4328 0.4227  3 Zn 2.58-2.77, 2 Pd 2.63, 1 Ga 2.78
Ga1 0.0000 0.0000 0.0000  2 Pd 2.50, 2 Zn 2.78
Ga2 0.0000 0.0000 0.5000  2 Pd 2.50, 2 Zn 2.78
Pd1 0.8435 0.6870 0.7500  2 Ga 2.50, 4 Zn 2.63, 1 Mg 2.73
Pd2 0.1565 0.3130 0.2500  2 Ga 2.50, 4 Zn 2.63, 1 Mg 2.73

No. 4
First-principles (PBE) data for Cu2AgHg2Pd5 after structural relaxation, as listed in Alexandria.

Properties
- Uncorrected energy: -3.75 eV per atom

a = 4.0717 Å, b = 9.0702 Å, c = 9.0702 Å
α = 90.00°, β = 90.00°, γ = 90.00°
Closest atoms and distances in Å follow each position.
Positions (direct):
Cu1 0.0000 0.1232 0.6232  6 Pd 2.58-2.62, 3 Hg 2.62-2.72
Cu2 0.0000 0.8768 0.3768  6 Pd 2.58-2.62, 3 Hg 2.62-2.72
Cu3 0.0000 0.6232 0.8768  6 Pd 2.58-2.62, 3 Hg 2.62-2.72
Cu4 0.0000 0.3768 0.1232  6 Pd 2.58-2.62, 3 Hg 2.62-2.72
Ag1 0.0000 0.0000 0.0000  8 Pd 2.82
Ag2 0.0000 0.5000 0.5000  8 Pd 2.82
Hg1 0.0000 0.6723 0.1723  3 Cu 2.62-2.72
Hg2 0.0000 0.3277 0.8277  3 Cu 2.62-2.72
Hg3 0.0000 0.1723 0.3277  3 Cu 2.62-2.72
Hg4 0.0000 0.8277 0.6723  3 Cu 2.62-2.72
Pd1 0.5000 0.1996 0.0818  2 Cu 2.62, 4 Pd 2.77-2.82, 2 Ag 2.82
Pd2 0.5000 0.8004 0.9182  2 Cu 2.62, 4 Pd 2.77-2.82, 2 Ag 2.82
Pd3 0.5000 0.0818 0.8004  2 Cu 2.62, 4 Pd 2.77-2.82, 2 Ag 2.82
Pd4 0.5000 0.6996 0.4182  2 Cu 2.62, 4 Pd 2.77-2.82, 2 Ag 2.82
Pd5 0.5000 0.9182 0.1996  2 Cu 2.62, 4 Pd 2.77-2.82, 2 Ag 2.82
Pd6 0.5000 0.3004 0.5818  2 Cu 2.62, 4 Pd 2.77-2.82, 2 Ag 2.82
Pd7 0.5000 0.5818 0.6996  2 Cu 2.62, 4 Pd 2.77-2.82, 2 Ag 2.82
Pd8 0.5000 0.4182 0.3004  2 Cu 2.62, 4 Pd 2.77-2.82, 2 Ag 2.82
Pd9 0.5000 0.5000 0.0000  4 Cu 2.58, 4 Pd 2.82
Pd10 0.5000 0.0000 0.5000  4 Cu 2.58, 4 Pd 2.82

No. 5
First-principles (PBE) data for Nd2ScGa after structural relaxation, as listed in Alexandria.

Properties
- Uncorrected energy: -4.64 eV per atom

a = 3.4664 Å, b = 3.4664 Å, c = 11.4547 Å
α = 81.30°, β = 81.30°, γ = 60.00°
Closest atoms and distances in Å follow each position.
Positions (direct):
Sc1 0.0000 0.0000 0.0000  2 Nd 3.29, 6 Sc 3.47
Nd1 0.0973 0.0973 0.7081  3 Ga 3.08, 1 Sc 3.29
Nd2 0.9027 0.9027 0.2919  3 Ga 3.08, 1 Sc 3.29
Ga1 0.5000 0.5000 0.5000  6 Nd 3.08

No. 6
First-principles (PBE) data for CsSc3Co after structural relaxation, as listed in Alexandria.

Properties
- Uncorrected energy: -5.08 eV per atom

a = 5.1167 Å, b = 5.1167 Å, c = 5.1167 Å
α = 90.00°, β = 90.00°, γ = 90.00°
Closest atoms and distances in Å follow each position.
Positions (direct):
Cs1 0.5000 0.5000 0.5000  12 Sc 3.62
Sc1 0.0000 0.5000 0.0000  2 Co 2.56
Sc2 0.0000 0.0000 0.5000  2 Co 2.56
Sc3 0.5000 0.0000 0.0000  2 Co 2.56
Co1 0.0000 0.0000 0.0000  6 Sc 2.56

No. 7
First-principles (PBE) data for Ni4BPd after structural relaxation, as listed in Alexandria.

Properties
- Uncorrected energy: -5.90 eV per atom

a = 4.3511 Å, b = 5.2764 Å, c = 6.6669 Å
α = 113.31°, β = 108.96°, γ = 90.00°
Closest atoms and distances in Å follow each position.
Positions (direct):
Ni1 0.1745 0.6735 0.3471  2 B 2.36-2.38, 2 Ni 2.47, 2 Pd 2.63
Ni2 0.3869 0.1292 0.7744  2 B 2.07-2.08
Ni3 0.0000 0.2231 0.0000  2 B 1.95
Ni4 0.6131 0.3548 0.2256  2 B 2.07-2.08
Ni5 0.8255 0.3265 0.6529  2 B 2.36-2.38, 2 Ni 2.47, 2 Pd 2.63
Ni6 0.6131 0.8708 0.2256  2 B 2.07-2.08
Ni7 0.0000 0.7769 0.0000  2 B 1.95
Ni8 0.3869 0.6452 0.7744  2 B 2.07-2.08
B1 0.2971 0.5004 0.0008  1 B 1.77, 2 Ni 1.95
B2 0.7029 0.4996 0.9992  1 B 1.77, 2 Ni 1.95
Pd1 0.8033 0.8030 0.6060  12 Ni 2.55-2.70
Pd2 0.1967 0.1970 0.3940  12 Ni 2.55-2.70

No. 8
First-principles (PBE) data for LiTcAu2Br after structural relaxation, as listed in Alexandria.

Properties
- Formation energy from raw total energies: 1.023 eV/atom

a = 5.2459 Å, b = 4.2889 Å, c = 5.2459 Å
α = 90.00°, β = 90.00°, γ = 90.00°
Closest atoms and distances in Å follow each position.
Positions (direct):
Au1 0.0000 0.0000 0.5000  2 Br 2.62
Au2 0.5000 0.0000 0.0000  2 Br 2.62
Tc1 0.5000 0.5000 0.5000  8 Au 3.39, 4 Li 3.71
Br1 0.0000 0.0000 0.0000  2 Li 2.14
Li1 0.0000 0.5000 0.0000  2 Br 2.14